Entry w
# SrYB3

Crystalline SrYB3 at its relaxed geometry (PBE-GGA, Alexandria).

a b c (Å): 4.760 4.760 4.760
angles (deg): 90.00 90.00 90.00
Fractional positions:
Y: 0.000 0.000 0.000
B: 0.000 0.000 0.500
B: 0.000 0.500 0.000
B: 0.500 0.000 0.000
Sr: 0.500 0.500 0.500

Computed properties:
Space group = No. 221
Crystal system = cubic

=====

Entry x
# SrYB3

Crystalline SrYB3 at its relaxed geometry (PBE-GGA, Alexandria).

a b c (Å): 4.621 4.621 4.621
angles (deg): 90.00 90.00 90.00
Fractional positions:
Sr: 0.000 0.000 0.000
B: 0.000 0.500 0.000
B: 0.500 0.000 0.000
B: 0.000 0.000 0.500
Y: 0.500 0.500 0.500

Computed properties:
Space group = No. 221
Crystal system = cubic

=====

The calculated energies rank the structures as follows, beginning with the most stable: entry w, entry x.

=====

Entry w
# SrZnB3

Crystalline SrZnB3 at its relaxed geometry (PBE-GGA, Alexandria).

a b c (Å): 5.043 5.043 5.043
angles (deg): 90.00 90.00 90.00
Fractional positions:
Zn: 0.500 0.500 0.500
B: 0.500 0.000 0.000
B: 0.000 0.500 0.000
B: 0.000 0.000 0.500
Sr: 0.000 0.000 0.000

Computed properties:
Space group = No. 221
Crystal system = cubic

=====

Entry x
# SrZnB3

Crystalline SrZnB3 at its relaxed geometry (PBE-GGA, Alexandria).

a b c (Å): 4.241 4.241 4.241
angles (deg): 90.00 90.00 90.00
Fractional positions:
B: 0.500 0.000 0.000
B: 0.000 0.500 0.000
B: 0.000 0.000 0.500
Zn: 0.000 0.000 0.000
Sr: 0.500 0.500 0.500

Computed properties:
Space group = No. 221
Crystal system = cubic

=====

The calculated energies rank the structures as follows, beginning with the most stable: entry x, entry w.

=====

Entry w
# SrZr3B

Crystalline SrZr3B at its relaxed geometry (PBE-GGA, Alexandria).

a b c (Å): 4.898 4.898 4.898
angles (deg): 90.00 90.00 90.00
Fractional positions:
Zr: 0.000 0.500 0.000
Zr: 0.500 0.000 0.000
Zr: 0.000 0.000 0.500
Sr: 0.500 0.500 0.500
B: 0.000 0.000 0.000

Computed properties:
Space group = No. 221
Crystal system = cubic

=====

Entry x
# SrZr3B

Crystalline SrZr3B at its relaxed geometry (PBE-GGA, Alexandria).

a b c (Å): 5.052 5.052 5.052
angles (deg): 90.00 90.00 90.00
Fractional positions:
Zr: 0.000 0.000 0.500
Zr: 0.000 0.500 0.000
Zr: 0.500 0.000 0.000
B: 0.500 0.500 0.500
Sr: 0.000 0.000 0.000

Computed properties:
Space group = No. 221
Crystal system = cubic

=====

The calculated energies rank the structures as follows, beginning with the most stable: entry w, entry x.

=====

Entry w
# SrZrB3

Crystalline SrZrB3 at its relaxed geometry (PBE-GGA, Alexandria).

a b c (Å): 4.403 4.403 4.403
angles (deg): 90.00 90.00 90.00
Fractional positions:
B: 0.500 0.000 0.000
B: 0.000 0.500 0.000
B: 0.000 0.000 0.500
Sr: 0.000 0.000 0.000
Zr: 0.500 0.500 0.500

Computed properties:
Space group = No. 221
Crystal system = cubic

=====

Entry x
# SrZrB3

Crystalline SrZrB3 at its relaxed geometry (PBE-GGA, Alexandria).

a b c (Å): 4.557 4.557 4.557
angles (deg): 90.00 90.00 90.00
Fractional positions:
B: 0.000 0.500 0.000
B: 0.000 0.000 0.500
B: 0.500 0.000 0.000
Sr: 0.500 0.500 0.500
Zr: 0.000 0.000 0.000

Computed properties:
Space group = No. 221
Crystal system = cubic

=====

The calculated energies rank the structures as follows, beginning with the most stable: entry x, entry w.

=====

Entry w
# Sr2Zr2B

Crystalline Sr2Zr2B at its relaxed geometry (PBE-GGA, Alexandria).

a b c (Å): 6.755 6.755 5.882
angles (deg): 90.00 90.00 90.00
Fractional positions:
Zr: 0.161 0.339 0.000
Zr: 0.661 0.161 0.000
Zr: 0.339 0.839 0.000
Zr: 0.839 0.661 0.000
Sr: 0.823 0.323 0.500
Sr: 0.677 0.823 0.500
Sr: 0.177 0.677 0.500
Sr: 0.323 0.177 0.500
B: 0.000 0.000 0.000
B: 0.500 0.500 0.000

Computed properties:
Space group = No. 127
Crystal system = tetragonal

=====

Entry x
# Sr2Zr2B

Crystalline Sr2Zr2B at its relaxed geometry (PBE-GGA, Alexandria).

a b c (Å): 4.040 4.040 8.658
angles (deg): 76.51 76.51 90.00
Fractional positions:
Zr: 0.573 0.573 0.855
Zr: 0.427 0.427 0.145
Sr: 0.250 0.750 0.500
Sr: 0.750 0.250 0.500
B: 0.000 0.000 0.000

Computed properties:
Space group = No. 139
Crystal system = tetragonal

=====

The calculated energies rank the structures as follows, beginning with the most stable: entry w, entry x.

=====

Entry w
# TaB

Crystalline TaB at its relaxed geometry (PBE-GGA, Alexandria).

a b c (Å): 7.672 7.672 4.538
angles (deg): 90.00 90.00 90.00
Fractional positions:
B: 0.349 0.151 0.500
B: 0.151 0.349 0.000
B: 0.651 0.849 0.500
B: 0.151 0.651 0.500
B: 0.849 0.349 0.500
B: 0.849 0.651 0.000
B: 0.349 0.849 0.000
B: 0.651 0.151 0.000
Ta: 0.857 0.643 0.500
Ta: 0.143 0.357 0.500
Ta: 0.357 0.857 0.500
Ta: 0.357 0.143 0.000
Ta: 0.857 0.357 0.000
Ta: 0.643 0.857 0.000
Ta: 0.643 0.143 0.500
Ta: 0.143 0.643 0.000

Computed properties:
Space group = No. 140
Crystal system = tetragonal

=====

Entry x
# TaB

Crystalline TaB at its relaxed geometry (PBE-GGA, Alexandria).

a b c (Å): 4.602 4.602 4.602
angles (deg): 90.00 90.00 90.00
Fractional positions:
Ta: 0.500 0.000 0.000
Ta: 0.500 0.500 0.500
Ta: 0.000 0.500 0.000
Ta: 0.000 0.000 0.500
B: 0.000 0.000 0.000
B: 0.500 0.000 0.500
B: 0.000 0.500 0.500
B: 0.500 0.500 0.000

Computed properties:
Space group = No. 225
Crystal system = cubic

=====

The calculated energies rank the structures as follows, beginning with the most stable: entry x, entry w.

=====

Entry w
# TaB

Crystalline TaB at its relaxed geometry (PBE-GGA, Alexandria).

a b c (Å): 5.005 5.005 5.005
angles (deg): 90.00 90.00 90.00
Fractional positions:
Ta: 0.000 0.000 0.000
Ta: 0.000 0.500 0.500
Ta: 0.500 0.000 0.500
Ta: 0.500 0.500 0.000
B: 0.750 0.250 0.750
B: 0.250 0.750 0.750
B: 0.250 0.250 0.250
B: 0.750 0.750 0.250

Computed properties:
Space group = No. 216
Crystal system = cubic

=====

Entry x
# TaB

Crystalline TaB at its relaxed geometry (PBE-GGA, Alexandria).

a b c (Å): 6.894 6.894 6.894
angles (deg): 90.00 90.00 90.00
Fractional positions:
B: 0.343 0.657 0.343
B: 0.843 0.843 0.157
B: 0.657 0.343 0.343
B: 0.157 0.157 0.157
B: 0.343 0.343 0.657
B: 0.657 0.657 0.657
B: 0.843 0.157 0.843
B: 0.157 0.843 0.843
Ta: 0.157 0.157 0.843
Ta: 0.657 0.343 0.657
Ta: 0.343 0.343 0.343
Ta: 0.843 0.843 0.843
Ta: 0.343 0.657 0.657
Ta: 0.157 0.843 0.157
Ta: 0.657 0.657 0.343
Ta: 0.843 0.157 0.157

Computed properties:
Space group = No. 217
Crystal system = cubic

=====

The calculated energies rank the structures as follows, beginning with the most stable: entry w, entry x.

=====

Entry w
# TaB

Crystalline TaB at its relaxed geometry (PBE-GGA, Alexandria).

a b c (Å): 6.149 6.149 6.149
angles (deg): 90.00 90.00 90.00
Fractional positions:
B: 0.000 0.750 0.500
B: 0.000 0.250 0.500
B: 0.250 0.500 0.000
B: 0.500 0.000 0.250
B: 0.750 0.500 0.000
B: 0.500 0.000 0.750
Ta: 0.500 0.750 0.000
Ta: 0.500 0.250 0.000
Ta: 0.750 0.000 0.500
Ta: 0.000 0.500 0.250
Ta: 0.250 0.000 0.500
Ta: 0.000 0.500 0.750

Computed properties:
Space group = No. 223
Crystal system = cubic

=====

Entry x
# TaB

Crystalline TaB at its relaxed geometry (PBE-GGA, Alexandria).

a b c (Å): 3.168 7.300 6.159
angles (deg): 90.00 90.00 90.00
Fractional positions:
B: 0.500 0.657 0.700
B: 0.000 0.500 0.733
B: 0.500 0.843 0.200
B: 0.000 0.000 0.233
B: 0.500 0.157 0.200
B: 0.500 0.343 0.700
Ta: 0.000 0.190 0.908
Ta: 0.000 0.310 0.408
Ta: 0.000 0.810 0.908
Ta: 0.500 0.000 0.552
Ta: 0.500 0.500 0.052
Ta: 0.000 0.690 0.408

Computed properties:
Space group = No. 38
Crystal system = orthorhombic

=====

Entry y
# TaB

Crystalline TaB at its relaxed geometry (PBE-GGA, Alexandria).

a b c (Å): 3.858 3.858 4.555
angles (deg): 90.00 90.00 120.00
Fractional positions:
Ta: 0.333 0.667 0.250
Ta: 0.667 0.333 0.750
B: 0.667 0.333 0.250
B: 0.333 0.667 0.750

Computed properties:
Space group = No. 194
Crystal system = hexagonal

=====

The calculated energies rank the structures as follows, beginning with the most stable: entry x, entry y, entry w.